Entry 1:
Material: Pr2CdGa
Method: DFT, PBE
State: optimized geometry

Values from the calculation:
ΔH_f (0 K) (eV per formula unit): -1.00

```
data_Pr2CdGa
_chemical_formula_sum 'Pr6 Cd3 Ga3'
_cell_length_a 3.8260
_cell_length_b 3.8260
_cell_length_c 28.5232
_cell_angle_alpha 90.00
_cell_angle_beta 90.00
_cell_angle_gamma 120.00
_symmetry_space_group_name_H-M 'R -3 m'
_symmetry_Int_Tables_number 166
_symmetry_space_group_name_Hall '-R 3 2"'
loop_
_atom_site_label
_atom_site_fract_x
_atom_site_fract_y
_atom_site_fract_z
_atom_site_occupancy
Pr1 0.0000 0.0000 0.2432 1
Cd1 0.0000 0.0000 0.0000 1
Ga1 0.0000 0.0000 0.5000 1
```



Entry 2:
Material: BaGe2Rh3
Method: DFT, PBE
State: optimized geometry

Values from the calculation:
ΔH_f (0 K) (eV per formula unit): -3.50

```
data_BaGe2Rh3
_chemical_formula_sum 'Ba4 Ge8 Rh12'
_cell_length_a 16.020
_cell_length_b 4.117
_cell_length_c 7.918
_cell_angle_alpha 90.00
_cell_angle_beta 114.31
_cell_angle_gamma 90.00
_symmetry_space_group_name_H-M 'C 1 2/m 1'
_symmetry_Int_Tables_number 12
_symmetry_space_group_name_Hall '-C 2y'
loop_
_atom_site_label
_atom_site_fract_x
_atom_site_fract_y
_atom_site_fract_z
_atom_site_occupancy
Ba1 0.155 0.000 0.066 1
Ge1 0.021 0.500 0.194 1
Ge2 0.181 0.000 0.635 1
Rh1 0.036 0.000 0.367 1
Rh2 0.091 0.500 0.662 1
Rh3 0.181 0.500 0.434 1
```



For each record above, in turn, the calculated DFT total energy values are -43.50, -146.85 eV for the cell shown.